(1)
## HoEr2Ru2 (GGA-PBE)

Data for a relaxed HoEr2Ru2 crystal.

Structure (extended XYZ):
```
10
Lattice="5.4048 0.0000 0.0000 0.0000 4.3905 0.0000 -1.4267 0.0000 10.0074" Properties=species:S:1:pos:R:3 pbc="T T T"
Ho -0.0060 1.0976 2.8074
Ho 3.9841 3.2929 7.2000
Er -0.0146 1.0976 9.7376
Er 1.2235 1.0976 6.1387
Er 2.7546 3.2929 3.8687
Er 3.9928 3.2929 0.2698
Ru 0.0865 3.2929 4.5436
Ru 1.1390 3.2929 1.5149
Ru 2.8391 1.0976 8.4925
Ru 3.8916 1.0976 5.4638
```

- excess energy over the best structure of this formula in the dataset (eV per atom) = 0.103
- energy relative to the elements (eV/f.u.) = -1.29



(2)
## Na12MgIn6 (GGA-PBE)

Data for a relaxed Na12MgIn6 crystal.

Structure (extended XYZ):
```
19
Lattice="5.6985 3.2900 4.9443 -5.6985 3.2900 4.9443 0.0000 -6.5801 4.9443" Properties=species:S:1:pos:R:3 pbc="T T T"
Na -5.1349 1.0566 6.1963
Na -3.4825 -3.9187 8.6367
Na -1.9735 -0.3932 4.5999
Na 1.6525 -4.9752 6.1963
Na 1.3273 -1.5125 4.6000
Na 0.6462 1.9057 4.6000
Na -0.6462 -1.9057 10.2330
Na -1.3273 1.5125 10.2330
Na -1.6524 4.9753 8.6367
Na 1.9735 0.3932 10.2330
Na 3.4825 3.9187 6.1963
Na 5.1349 -1.0566 8.6367
Mg 0.0000 0.0000 7.4165
In -0.8094 -2.8853 6.8565
In -2.9035 -0.7417 7.9764
In -2.0941 2.1437 6.8565
In 2.0941 -2.1437 7.9764
In 2.9035 0.7417 6.8565
In 0.8094 2.8853 7.9764
```

- energy relative to the elements (eV/f.u.) = -1.62



(3)
## LiCaPb (GGA-PBE)

Data for a relaxed LiCaPb crystal.

Structure (extended XYZ):
```
3
Lattice="0.0000 3.6812 3.6812 3.6812 0.0000 3.6812 3.6812 3.6812 0.0000" Properties=species:S:1:pos:R:3 pbc="T T T"
Li 0.0000 0.0000 0.0000
Ca 1.8406 1.8406 1.8406
Pb 3.6812 3.6812 3.6812
```

- energy relative to the elements (eV/f.u.) = 0.19



(4)
## PaSi2Pt (GGA-PBE)

Data for a relaxed PaSi2Pt crystal.

Structure (extended XYZ):
```
4
Lattice="4.2194 0.0000 0.0000 0.0000 4.2194 0.0000 0.0000 0.0000 4.0375" Properties=species:S:1:pos:R:3 pbc="T T T"
Pa 0.0000 0.0000 0.0000
Si 0.0000 2.1097 2.0188
Si 2.1097 0.0000 2.0188
Pt 2.1097 2.1097 0.0000
```

- formation energy (no corrections) (eV per atom) = -0.52



(5)
## SrBOF2 (GGA-PBE)

Data for a relaxed SrBOF2 crystal.

Structure (extended XYZ):
```
5
Lattice="4.6587 0.0000 0.0000 0.0000 4.6587 0.0000 0.0000 0.0000 4.8212" Properties=species:S:1:pos:R:3 pbc="T T T"
Sr 0.0000 0.0000 0.0000
B 2.3293 2.3293 2.4106
O 0.0000 0.0000 2.4106
F 0.0000 2.3293 0.0000
F 2.3293 0.0000 0.0000
```

- formation energy (no corrections) (eV per atom) = -0.78
- excess energy over the best structure of this formula in the dataset (eV per atom) = 1.134



(6)
## BaGaO3 (GGA-PBE)

Data for a relaxed BaGaO3 crystal.

Structure (extended XYZ):
```
5
Lattice="4.0129 0.0000 0.0000 0.0000 4.0129 0.0000 0.0000 0.0000 4.0129" Properties=species:S:1:pos:R:3 pbc="T T T"
Ba 0.0000 0.0000 0.0000
Ga 2.0064 2.0064 2.0064
O 0.0000 2.0064 2.0064
O 2.0064 0.0000 2.0064
O 2.0064 2.0064 0.0000
```

- formation energy (no corrections) (eV per atom) = -1.90



(7)
## RhSF (GGA-PBE)

Data for a relaxed RhSF crystal.

Structure (extended XYZ):
```
12
Lattice="0.0000 5.4655 3.6019 4.4827 0.0000 3.6019 4.4827 5.4655 0.0000" Properties=species:S:1:pos:R:3 pbc="T T T"
Rh 2.2429 0.0427 1.8010
Rh 4.4842 2.6900 3.6019
Rh 2.2398 5.4228 1.8010
Rh 4.4812 8.2409 3.6019
S 8.0481 4.8073 3.5858
S 3.1587 2.0745 1.7848
S 1.3241 3.3910 1.7848
S 0.9173 6.1237 3.5858
F 5.5507 6.3843 3.6726
F 3.4147 4.5466 3.6726
F 7.7921 7.2793 5.4736
F 5.6561 9.1171 5.4736
```

- formation energy (no corrections) (eV per atom) = -0.82
- excess energy over the best structure of this formula in the dataset (eV per atom) = 0.117



(8)
## KZr2Ir (GGA-PBE)

Data for a relaxed KZr2Ir crystal.

Structure (extended XYZ):
```
4
Lattice="0.0000 3.4619 3.4619 3.4619 0.0000 3.4619 3.4619 3.4619 0.0000" Properties=species:S:1:pos:R:3 pbc="T T T"
K 0.0000 0.0000 0.0000
Zr 1.7310 1.7310 1.7310
Zr 5.1929 5.1929 5.1929
Ir 3.4619 3.4619 3.4619
```

- excess energy over the best structure of this formula in the dataset (eV per atom) = 0.379
- energy relative to the elements (eV/f.u.) = 1.49



(9)
## ZnOsSe2 (GGA-PBE)

Data for a relaxed ZnOsSe2 crystal.

Structure (extended XYZ):
```
4
Lattice="0.0000 3.2316 3.2316 3.2316 0.0000 3.2316 3.2316 3.2316 0.0000" Properties=species:S:1:pos:R:3 pbc="T T T"
Zn 0.0000 0.0000 0.0000
Os 1.6158 1.6158 1.6158
Se 3.2316 3.2316 3.2316
Se 4.8474 4.8474 4.8474
```

- formation energy (no corrections) (eV per atom) = 0.87



(10)
## TeCl3 (GGA-PBE)

Data for a relaxed TeCl3 crystal.

Structure (extended XYZ):
```
8
Lattice="5.8095 0.0000 0.0000 0.0000 6.7778 0.0000 0.0000 0.0000 7.9155" Properties=species:S:1:pos:R:3 pbc="T T T"
Te 1.4524 1.6945 0.9727
Te 4.3571 5.0834 6.9428
Cl 1.4524 3.4005 2.5458
Cl 1.4524 5.0834 7.0421
Cl 1.4524 6.7663 2.5458
Cl 4.3571 0.0116 5.3697
Cl 4.3571 1.6945 0.8735
Cl 4.3571 3.3773 5.3697
```

- formation energy (no corrections) (eV per atom) = -0.38
- excess energy over the best structure of this formula in the dataset (eV per atom) = 0.041



(11)
## Nd2Sm4Sn3O2 (GGA-PBE)

Data for a relaxed Nd2Sm4Sn3O2 crystal.

Structure (extended XYZ):
```
11
Lattice="-2.3840 2.3840 12.9086 2.3840 -2.3840 12.9086 2.3840 2.3840 -12.9086" Properties=species:S:1:pos:R:3 pbc="T T T"
Nd 0.0000 0.0000 5.0218
Nd 0.0000 0.0000 20.7954
Sm 2.3840 0.0000 2.1237
Sm 2.3840 0.0000 10.7849
Sm 0.0000 2.3840 2.1237
Sm 0.0000 2.3840 10.7849
Sn 0.0000 0.0000 8.3473
Sn 0.0000 0.0000 12.9086
Sn 0.0000 0.0000 17.4699
O 0.0000 0.0000 2.5310
O 0.0000 0.0000 23.2862
```

- formation energy (no corrections) (eV per atom) = -1.50



(12)
## Tb4Ho10Zr (GGA-PBE)

Data for a relaxed Tb4Ho10Zr crystal.

Structure (extended XYZ):
```
15
Lattice="-5.5676 5.5676 3.8601 5.5676 -5.5676 3.8601 5.5676 5.5676 -3.8601" Properties=species:S:1:pos:R:3 pbc="T T T"
Tb 2.5355 2.5355 0.0000
Tb 3.0321 -3.0321 3.8601
Tb -3.0321 3.0321 3.8601
Tb 3.0321 3.0321 3.8601
Ho 5.5676 3.2585 -1.6338
Ho 5.5676 0.0000 1.9301
Ho 3.2585 5.5676 -1.6338
Ho 2.3091 0.0000 2.2263
Ho 0.0000 2.3091 2.2263
Ho 5.5676 3.2585 1.6338
Ho 3.2585 5.5676 1.6338
Ho 2.3091 0.0000 5.4939
Ho 0.0000 5.5676 1.9301
Ho 0.0000 2.3091 5.4939
Zr 0.0000 0.0000 0.0000
```

- energy relative to the elements (eV/f.u.) = 3.61



(13)
## ThGeTe3 (GGA-PBE)

Data for a relaxed ThGeTe3 crystal.

Structure (extended XYZ):
```
10
Lattice="8.2839 0.0000 0.0000 0.0000 4.4238 0.0000 -3.4008 0.0000 11.3073" Properties=species:S:1:pos:R:3 pbc="T T T"
Th -1.0151 1.1059 3.6823
Th 5.8981 3.3178 7.6250
Ge 0.9335 1.1059 9.4673
Ge 3.9496 3.3178 1.8400
Te 0.8869 3.3178 2.8340
Te -0.2255 1.1059 6.7553
Te -0.7041 3.3178 10.3018
Te 5.5872 1.1059 1.0055
Te 5.1085 3.3178 4.5520
Te 3.9962 1.1059 8.4733
```

- formation energy (no corrections) (eV per atom) = -0.64



(14)
## Nd2Er3PuS6 (GGA-PBE)

Data for a relaxed Nd2Er3PuS6 crystal.

Structure (extended XYZ):
```
12
Lattice="8.6403 -1.9561 0.0000 8.6403 1.9561 0.0000 -1.9645 0.0000 7.7314" Properties=species:S:1:pos:R:3 pbc="T T T"
Nd 2.2100 0.0000 2.5658
Nd 13.1061 0.0000 5.1657
Er 1.2433 0.0000 6.4637
Er 7.6581 0.0000 3.8657
Er 14.0728 0.0000 1.2677
Pu 8.6403 0.0000 0.0000
S -1.3897 0.0000 5.7696
S 3.9047 0.0000 7.1684
S 5.0318 0.0000 3.1337
S 10.2843 0.0000 4.5977
S 11.4114 0.0000 0.5631
S 16.7059 0.0000 1.9619
```

- formation energy (no corrections) (eV per atom) = -1.97



(15)
## AcCeTlHg (GGA-PBE)

Data for a relaxed AcCeTlHg crystal.

Structure (extended XYZ):
```
4
Lattice="0.0000 3.9936 3.9936 3.9936 0.0000 3.9936 3.9936 3.9936 0.0000" Properties=species:S:1:pos:R:3 pbc="T T T"
Ac 0.0000 0.0000 0.0000
Ce 3.9936 3.9936 3.9936
Tl 5.9904 5.9904 5.9904
Hg 1.9968 1.9968 1.9968
```

- excess energy over the best structure of this formula in the dataset (eV per atom) = 0.012
- energy relative to the elements (eV/f.u.) = -1.21



(16)
## LiLa6Co3 (GGA-PBE)

Data for a relaxed LiLa6Co3 crystal.

Structure (extended XYZ):
```
20
Lattice="12.1964 0.0000 0.0000 0.0000 4.0024 0.0000 -3.4739 0.0000 12.0224" Properties=species:S:1:pos:R:3 pbc="T T T"
Li 1.4460 1.0006 0.3443
Li 7.2765 3.0018 11.6781
La -2.1453 3.0018 9.4786
La -0.1784 1.0006 6.0849
La 1.8746 3.0018 3.7385
La 1.0632 1.0006 9.4612
La 4.5747 3.0018 0.7258
La 3.5093 3.0018 7.3357
La 5.2132 1.0006 4.6867
La 4.1478 1.0006 11.2966
La 7.6593 3.0018 2.5612
La 6.8479 1.0006 8.2839
La 8.9009 3.0018 5.9375
La 10.8677 1.0006 2.5438
Co -1.0010 3.0018 4.1970
Co 2.5062 1.0006 5.5972
Co 2.5737 3.0018 10.2140
Co 6.1488 1.0006 1.8084
Co 6.2163 3.0018 6.4252
Co 9.7235 1.0006 7.8254
```

- energy relative to the elements (eV/f.u.) = -0.59



(17)
## As2OsPt (GGA-PBE)

Data for a relaxed As2OsPt crystal.

Structure (extended XYZ):
```
4
Lattice="-1.9004 1.9004 4.4009 1.9004 -1.9004 4.4009 1.9004 1.9004 -4.4009" Properties=species:S:1:pos:R:3 pbc="T T T"
As 0.0000 0.0000 0.0000
As 0.0000 1.9004 2.2005
Os 1.9004 0.0000 2.2005
Pt 0.0000 0.0000 4.4009
```

- excess energy over the best structure of this formula in the dataset (eV per atom) = 0.325
- energy relative to the elements (eV/f.u.) = 1.69



(18)
## Sr2LaPaS6 (GGA-PBE)

Data for a relaxed Sr2LaPaS6 crystal.

Structure (extended XYZ):
```
10
Lattice="3.6555 2.1105 6.2861 -3.6555 2.1105 6.2861 0.0000 -4.2210 6.2861" Properties=species:S:1:pos:R:3 pbc="T T T"
Sr 0.0000 0.0000 0.0000
Sr 0.0000 0.0000 9.3343
La 0.0000 0.0000 3.9918
Pa 0.0000 0.0000 13.3162
S -1.4200 -2.4894 8.4120
S -2.0579 0.2065 11.6423
S -1.4458 2.4745 8.4120
S 0.8501 -1.8854 11.6423
S 2.8659 0.0149 8.4120
S 1.2077 1.6789 11.6423
```

- formation energy (no corrections) (eV per atom) = -1.95



| no. | electronic total energy (eV per atom) |
| --- | --- |
| 1 | -6.71 |
| 2 | -1.87 |
| 3 | -2.48 |
| 4 | -7.12 |
| 5 | -4.19 |
| 6 | -5.86 |
| 7 | -5.27 |
| 8 | -6.39 |
| 9 | -4.00 |
| 10 | -2.55 |
| 11 | -6.08 |
| 12 | -4.62 |
| 13 | -4.93 |
| 14 | -7.16 |
| 15 | -3.48 |
| 16 | -5.34 |
| 17 | -6.22 |
| 18 | -6.20 |